(1)
First-principles (PBE) data for a relaxed structure of La3BeGe2, as listed in Alexandria.

The structure in extended XYZ format:
```
24
Lattice="4.209 0.000 0.000 0.000 12.039 0.000 0.000 0.000 12.181" Properties=species:S:1:pos:R:3 pbc="T T T"
Ge 3.156 2.237 0.545
Ge 3.156 3.782 6.636
La 1.052 4.644 0.818
Ge 3.156 11.780 8.574
La 3.156 6.738 7.498
Ge 1.052 8.257 5.545
La 1.052 5.301 4.683
La 3.156 3.470 9.777
Ge 1.052 5.760 9.698
La 1.052 1.375 6.908
La 3.156 11.321 1.408
La 3.156 2.549 3.686
Ge 3.156 6.279 2.484
Be 3.156 7.689 4.426
Ge 1.052 0.259 3.607
La 1.052 9.490 8.495
Ge 1.052 9.802 11.636
La 3.156 7.395 11.363
La 1.052 0.718 10.774
Be 1.052 4.350 7.755
La 3.156 10.664 5.273
La 1.052 8.569 2.404
Be 1.052 1.669 1.664
Be 3.156 10.370 10.517
```

The formation energy comes out at -0.619 eV/atom. Its space group is No. 62.



(2)
First-principles (PBE) data for a relaxed structure of Ta3Cu4PbO12, as listed in Alexandria.

The structure in extended XYZ format:
```
20
Lattice="-4.412 1.331 -5.083 -0.263 -6.765 1.110 -2.516 3.014 5.626" Properties=species:S:1:pos:R:3 pbc="T T T"
Pb 0.000 0.000 0.000
O -3.771 0.899 4.642
O -4.490 2.673 2.620
O -2.879 -2.608 1.896
O -3.923 -1.501 -1.022
Cu -5.369 2.251 -1.821
Ta -1.250 -2.480 3.089
Cu -3.595 -1.210 0.827
O -3.984 0.478 1.606
Cu -2.785 -0.491 5.404
O -4.348 -1.878 -3.426
O -2.530 -5.441 0.759
Ta -3.347 2.277 0.934
O -1.948 -4.425 3.286
O -4.843 2.859 -0.136
O -3.021 -4.098 -2.394
O -5.367 0.615 -2.719
O -2.040 -2.094 4.806
Cu -2.632 -5.390 -1.104
Ta -2.594 -2.216 -2.369
```

The value obtained for the uncorrected formation energy is -1.7279 eV per atom. Its space group is No. 155.



(3)
First-principles (PBE) data for a relaxed structure of Mg3AlZn, as listed in Alexandria.

The structure in extended XYZ format:
```
5
Lattice="4.978 0.000 0.000 0.000 4.978 0.000 0.000 0.000 4.978" Properties=species:S:1:pos:R:3 pbc="T T T"
Mg 2.489 0.000 0.000
Mg 0.000 0.000 2.489
Mg 0.000 2.489 0.000
Al 2.489 2.489 2.489
Zn 0.000 0.000 0.000
```

Its offset from the most stable computed form is 318 meV per atom. The formation energy comes out at 0.328 eV/atom. Its space group is No. 221.



In order of appearance, V = 25.72; 13.57; 24.67 Å³ per atom.